# GGA+U Mn2AsO4, relaxed
data_Mn2AsO4
_chemical_formula_sum 'Mn4 As2 O8'
_cell_length_a 5.1568
_cell_length_b 5.1568
_cell_length_c 8.4397
_cell_angle_alpha 90.00
_cell_angle_beta 90.00
_cell_angle_gamma 90.00
_space_group_name_H-M_alt 'I -4 2 m'
_space_group_IT_number 121
_space_group_name_Hall 'I -4 2'
loop_
_atom_site_label
_atom_site_type_symbol
_atom_site_fract_x
_atom_site_fract_y
_atom_site_fract_z
Mn1 Mn 0.0000 0.5000 0.2500
As1 As 0.0000 0.0000 0.0000
O1 O 0.2034 0.2034 0.1300
# **Theoretical density**: 3.68 g/cm³
# **Raw total energy**: -6.938 eV/atom